SrAs2Rh5 after structural relaxation, computed with GGA-PBE.

Structure (CIF):
```
data_SrAs2Rh5
_cell_length_a 3.9750
_cell_length_b 6.3652
_cell_length_c 6.3652
_cell_angle_alpha 67.72
_cell_angle_beta 71.81
_cell_angle_gamma 71.81
_space_group_name_H-M_alt 'P 1'
_space_group_IT_number 1
_space_group_name_Hall 'P 1'
loop_
_atom_site_label
_atom_site_type_symbol
_atom_site_fract_x
_atom_site_fract_y
_atom_site_fract_z
_atom_site_occupancy
As1 As 0.7572 0.7428 0.7428 1
As2 As 0.2428 0.2572 0.2572 1
Rh1 Rh 0.3505 0.8434 0.4556 1
Rh2 Rh 0.6495 0.5444 0.1566 1
Rh3 Rh 0.3505 0.4556 0.8434 1
Rh4 Rh 0.6495 0.1566 0.5444 1
Rh5 Rh 0.0000 0.5000 0.5000 1
Sr1 Sr 0.0000 0.0000 0.0000 1
```

Output
**D(E_F)**: 0.6980 states/eV per atom
**Total energy**: -51.83 eV for the cell shown
**Space group**: Immm
**Formation energy from the elements**: -0.512 eV per atom